Density functional theory data (meta-GGA SCAN) for a PBEsol-optimized structure of BeCuRe2.

Unit cell a=3.609 b=3.609 c=3.880 alpha=90.00 beta=90.00 gamma=90.00
Positions (direct):
Be 0.000 0.000 0.000
Cu 0.500 0.500 0.000
Re 0.000 0.500 0.500
Re 0.500 0.000 0.500

Output
The value obtained for the calculated formation energy is 109.4 kJ/mol of formula units. The value obtained for the total moment is 0.0 μB/f.u.